A plane-wave DFT calculation with GGA-PBE was carried out for crystalline TiTc3Bi at its relaxed geometry.

```
TiTc3Bi
1.0
4.634 0.000 0.000
0.000 4.634 0.000
0.000 0.000 4.634
Ti Tc Bi
1 3 1
Cartesian
0.000 0.000 0.000
0.000 0.000 2.317
0.000 2.317 0.000
2.317 0.000 0.000
2.317 2.317 2.317
```

Output
calculated formation energy	1196	meV per atom

A plane-wave DFT calculation with GGA-PBE was carried out for crystalline AcThCu2 at its relaxed geometry.

```
AcThCu2
1.0
3.709 0.000 0.000
0.000 3.709 0.000
0.000 0.000 7.335
Ac Th Cu
1 1 2
Cartesian
0.000 0.000 0.000
0.000 0.000 3.667
1.854 1.854 2.124
1.854 1.854 5.211
```

Output
calculated formation energy	-51	meV per atom

A plane-wave DFT calculation with GGA-PBE was carried out for crystalline LaMg2In at its relaxed geometry.

```
LaMg2In
1.0
3.401 -4.805 0.000
3.401 4.805 0.000
0.000 0.000 3.436
La Mg In
1 2 1
Cartesian
0.000 0.000 0.000
1.700 2.403 1.718
1.700 -2.403 1.718
3.401 0.000 0.000
```

Output
calculated formation energy	-75	meV per atom

A plane-wave DFT calculation with GGA-PBE was carried out for crystalline Cs4K5S at its relaxed geometry.

```
Cs4K5S
1.0
-7.779 7.779 3.279
7.779 -7.779 3.279
7.779 7.779 -3.279
Cs K S
4 5 1
Cartesian
5.027 0.000 0.000
10.532 0.000 0.000
0.000 5.027 0.000
0.000 10.532 0.000
0.000 0.000 0.000
5.582 5.582 0.000
2.197 -2.197 3.279
-2.197 2.197 3.279
2.197 2.197 3.279
0.000 0.000 3.279
```

Output
energy	-1.555	eV per atom

A plane-wave DFT calculation with GGA-PBE was carried out for crystalline Ba4GeBr3 at its relaxed geometry.

```
Ba4GeBr3
1.0
8.331 0.000 0.000
0.000 9.648 0.000
-2.773 0.000 7.894
Ba Ge Br
8 2 6
Cartesian
1.910 1.071 0.012
0.524 8.578 3.959
0.631 3.496 3.815
-0.755 6.153 7.762
6.313 3.496 0.132
4.927 6.153 4.078
5.034 1.071 3.934
3.647 8.578 7.881
-0.693 1.280 1.973
-2.080 8.368 5.920
-2.080 3.634 5.920
-0.693 6.014 1.973
2.086 1.304 5.920
3.472 3.662 1.973
2.086 5.986 5.920
3.472 8.344 1.973
```

Output
energy	-3.605	eV per atom

A plane-wave DFT calculation with GGA-PBE was carried out for crystalline MnIn2Br at its relaxed geometry.

```
MnIn2Br
1.0
3.602 0.000 0.000
0.000 5.380 0.000
-0.794 0.000 5.300
Mn In Br
1 2 1
Cartesian
0.000 0.000 0.000
0.998 2.690 1.230
1.810 2.690 4.070
-0.397 0.000 2.650
```

Output
energy	-3.897	eV per atom

How do the records compare in Fermi-level density of states? In the order shown, they have 4.99; 4.65; 2.65; 6.86; 4.97; 1.83 states/eV per cell.